Entry from Alexandria via LeMat-Bulk: La2PtBr2 after structural relaxation (GGA-PBE).

a b c (Å): 8.501 8.501 3.600
angles (deg): 90.00 90.00 90.00
Fractional positions:
La (0.177, 0.323, 0.000)
La (0.323, 0.823, 0.000)
La (0.677, 0.177, 0.000)
La (0.823, 0.677, 0.000)
Pt (0.000, 0.000, 0.500)
Pt (0.500, 0.500, 0.500)
Br (0.126, 0.626, 0.500)
Br (0.374, 0.126, 0.500)
Br (0.626, 0.874, 0.500)
Br (0.874, 0.374, 0.500)

## Properties
density of states at the Fermi level: 3.8 states/eV/f.u.
relative energy among the computed polymorphs: 569 meV/atom
formation energy without anion corrections: -964 meV/atom

Entry from Alexandria via LeMat-Bulk: LaPtBr after structural relaxation (GGA-PBE).

a b c (Å): 4.248 4.248 6.197
angles (deg): 90.00 90.00 120.00
Fractional positions:
La (0.000, 0.000, 0.000)
Pt (0.667, 0.333, 0.232)
Br (0.333, 0.667, 0.682)

## Properties
density of states at the Fermi level: 0.0 states/eV/f.u.
formation energy without anion corrections: -1190 meV/atom

Entry from Alexandria via LeMat-Bulk: LaPtBr after structural relaxation (GGA-PBE).

a b c (Å): 4.935 4.935 4.935
angles (deg): 60.00 60.00 60.00
Fractional positions:
La (0.000, 0.000, 0.000)
Pt (0.250, 0.250, 0.250)
Br (0.500, 0.500, 0.500)

## Properties
formation energy without anion corrections: -960 meV/atom

Entry from Alexandria via LeMat-Bulk: LaPtBr2 after structural relaxation (GGA-PBE).

a b c (Å): 9.414 9.414 9.414
angles (deg): 22.74 22.74 22.74
Fractional positions:
La (0.000, 0.000, 0.000)
Pt (0.500, 0.500, 0.500)
Br (0.256, 0.256, 0.256)
Br (0.744, 0.744, 0.744)

## Properties
density of states at the Fermi level: 6.6 states/eV/f.u.
relative energy among the computed polymorphs: 811 meV/atom
formation energy without anion corrections: -284 meV/atom

Entry from Alexandria via LeMat-Bulk: LaPtBr2 after structural relaxation (GGA-PBE).

a b c (Å): 4.345 4.400 4.967
angles (deg): 90.00 90.00 90.00
Fractional positions:
La (0.000, 0.000, 0.000)
Pt (0.500, 0.000, 0.500)
Br (0.000, 0.500, 0.500)
Br (0.500, 0.500, 0.000)

## Properties
density of states at the Fermi level: 1.3 states/eV/f.u.
relative energy among the computed polymorphs: 257 meV/atom
formation energy without anion corrections: -839 meV/atom

Entry from Alexandria via LeMat-Bulk: La2PtBr2 after structural relaxation (GGA-PBE).

a b c (Å): 6.170 6.170 6.170
angles (deg): 125.82 125.82 80.18
Fractional positions:
La (0.250, 0.750, 0.500)
La (0.750, 0.250, 0.500)
Pt (0.000, 0.000, 0.000)
Br (0.339, 0.339, 0.000)
Br (0.661, 0.661, 0.000)

## Properties
density of states at the Fermi level: 2.0 states/eV/f.u.
relative energy among the computed polymorphs: 659 meV/atom
formation energy without anion corrections: -873 meV/atom

Entry from Alexandria via LeMat-Bulk: LaPt3Br after structural relaxation (GGA-PBE).

a b c (Å): 4.879 4.879 4.879
angles (deg): 90.00 90.00 90.00
Fractional positions:
La (0.000, 0.000, 0.000)
Pt (0.000, 0.500, 0.500)
Pt (0.500, 0.000, 0.500)
Pt (0.500, 0.500, 0.000)
Br (0.500, 0.500, 0.500)

## Properties
density of states at the Fermi level: 2.6 states/eV/f.u.
relative energy among the computed polymorphs: 0 meV/atom
formation energy without anion corrections: 141 meV/atom

Entry from Alexandria via LeMat-Bulk: LaPtBr2 after structural relaxation (GGA-PBE).

a b c (Å): 4.128 4.128 6.043
angles (deg): 90.00 90.00 90.00
Fractional positions:
La (0.000, 0.000, 0.000)
Pt (0.500, 0.500, 0.207)
Br (0.000, 0.000, 0.469)
Br (0.500, 0.500, 0.757)

## Properties
density of states at the Fermi level: 2.0 states/eV/f.u.
relative energy among the computed polymorphs: 130 meV/atom
formation energy without anion corrections: -965 meV/atom